Computed, not measured: crystalline SnB2Pt at its relaxed geometry at the GGA-PBE level of DFT.

a b c (Å): 4.4557 5.3917 6.1423
angles (deg): 112.88 93.68 109.16
With the nearest neighbours (Å) after each atom.
Element x y z (fractional)
Sn  0.2943  0.2547  0.9256  4 Pt 2.76-3.06, 3 B 2.78-3.05
B  0.5673  0.9369  0.2696  3 B 1.67-1.71
Pt  0.0364  0.6726  0.8295  2 B 2.20-2.21
B  0.8129  0.7748  0.3161  3 B 1.65-1.68
B  0.9030  0.9522  0.1480  3 B 1.65-1.75
B  0.1608  0.7962  0.2190  3 B 1.67-1.75
Sn  0.4794  0.5919  0.5512  1 B 2.38
Pt  0.8604  0.3668  0.2548  4 B 2.15-2.37

Values from the calculation:
Space group: P1
Energy relative to the elements in eV/atom: 0.0637

---

Computed, not measured: crystalline SnBPt3 at its relaxed geometry at the GGA-PBE level of DFT.

a b c (Å): 4.3186 6.4001 6.4003
angles (deg): 120.00 90.00 90.00
With the nearest neighbours (Å) after each atom.
Element x y z (fractional)
B  0.5000  0.0000  0.0000  2 B 2.16, 6 Pt 2.23
Pt  0.2500  0.3518  0.1759  2 B 2.23
Pt  0.7500  0.6482  0.8241  2 B 2.23
Pt  0.7500  0.1759  0.3518  2 B 2.23
Sn  0.2500  0.3333  0.6667  6 Pt 2.78
Pt  0.7500  0.1759  0.8241  2 B 2.23
Sn  0.7500  0.6667  0.3334  6 Pt 2.78
Pt  0.2500  0.8241  0.1759  2 B 2.23
Pt  0.2500  0.8241  0.6482  2 B 2.23
B  0.0000  0.0000  0.0000  2 B 2.16, 6 Pt 2.23

Values from the calculation:
Space group: P6_3/mmc
Energy relative to the elements in eV/atom: -0.2704
Polymorph energy (0 for the lowest one) in meV/atom: 0

---

Computed, not measured: crystalline SnBPt3 at its relaxed geometry at the GGA-PBE level of DFT.

a b c (Å): 4.9836 4.9836 4.9836
angles (deg): 90.00 90.00 90.00
With the nearest neighbours (Å) after each atom.
Element x y z (fractional)
Pt  0.0000  0.0000  0.5000  2 Sn 2.49
Pt  0.5000  0.0000  0.0000  2 Sn 2.49
Pt  0.0000  0.5000  0.0000  2 Sn 2.49
Sn  0.0000  0.0000  0.0000  6 Pt 2.49
B  0.5000  0.5000  0.5000  12 Pt 3.52

Values from the calculation:
Space group: Pm-3m
Energy relative to the elements in eV/atom: 1.7833
Polymorph energy (0 for the lowest one) in meV/atom: 2054

---

Computed, not measured: crystalline SnB2Pt at its relaxed geometry at the GGA-PBE level of DFT.

a b c (Å): 5.0553 5.0553 6.2470
angles (deg): 66.13 66.13 90.00
With the nearest neighbours (Å) after each atom.
Element x y z (fractional)
B  0.0737  0.6250  0.2500  2 Pt 2.06
Sn  0.5000  0.5000  0.0000  4 B 2.36
Sn  0.2500  0.7500  0.5000  4 B 2.36
Pt  0.7500  0.2500  0.5000  4 B 2.06
B  0.3750  0.3237  0.7500  2 Pt 2.06
B  0.8750  0.9263  0.7500  2 Pt 2.06
Pt  0.0000  0.0000  0.0000  4 B 2.06
B  0.6763  0.1250  0.2500  2 Pt 2.06

Values from the calculation:
Space group: I-42d
Energy relative to the elements in eV/atom: 0.4058

---

Computed, not measured: crystalline SnB2Pt at its relaxed geometry at the GGA-PBE level of DFT.

a b c (Å): 4.4634 5.1960 5.9881
angles (deg): 105.50 90.27 109.53
With the nearest neighbours (Å) after each atom.
Element x y z (fractional)
B  0.7166  0.2950  0.2421  3 B 1.66-1.76
B  0.1069  0.3890  0.3425  3 B 1.70-1.77
B  0.3203  0.1656  0.2132  3 B 1.66-1.77
Pt  0.4447  0.3295  0.5856  3 B 2.16-2.39
Pt  0.0462  0.7535  0.2870  4 B 2.11-2.33
B  0.9357  0.0754  0.1230  3 B 1.67-1.76
Sn  0.4897  0.6056  0.0268  4 B 2.50-2.76, 3 Pt 2.62-2.71
Sn  0.8254  0.0403  0.6936  1 B 2.56, 3 Pt 2.79-2.86

Values from the calculation:
Space group: P1
Energy relative to the elements in eV/atom: 0.0644

---

Computed, not measured: crystalline SnB2Pt at its relaxed geometry at the GGA-PBE level of DFT.

a b c (Å): 5.9946 3.1514 7.3243
angles (deg): 90.00 90.29 90.00
With the nearest neighbours (Å) after each atom.
Element x y z (fractional)
Pt  0.0000  0.0000  0.5000  6 B 2.13-2.20
B  0.0001  0.5000  0.7090  2 B 1.69
B  0.0001  0.0000  0.2090  2 B 1.69
Sn  0.5000  0.5000  0.0000  2 Pt 3.00, 2 Sn 3.15
Sn  0.5000  0.0000  0.5000  2 Pt 3.00, 2 Sn 3.15
B  0.9999  0.5000  0.2910  2 B 1.69
Pt  0.0000  0.5000  0.0000  6 B 2.13-2.20
B  0.9999  0.0000  0.7910  2 B 1.69

Values from the calculation:
Space group: C2/m
Energy relative to the elements in eV/atom: 0.1197

---

no.,total magnetization (μB per formula unit)
1,0.0
2,0.0
3,0.0
4,0.0
5,0.0
6,0.0